No. 1
Material: Ba2Cd2F7
Method: DFT, PBE
State: optimized geometry

POSCAR file:
```
Ba2Cd2F7
1.0
4.150 -4.374 0.000
4.150 4.374 0.000
0.000 0.000 5.789
Ba Cd F
2 2 7
direct
0.248 0.248 0.000 Ba
0.752 0.752 0.000 Ba
0.268 0.732 0.500 Cd
0.732 0.268 0.500 Cd
0.000 0.000 0.500 F
0.000 0.500 0.257 F
0.000 0.500 0.743 F
0.500 0.000 0.257 F
0.500 0.000 0.743 F
0.500 0.500 0.262 F
0.500 0.500 0.738 F
```

Summary:
* E_tot: -49.6 eV for the cell shown

***

No. 2
Material: Ba4Cd2F
Method: DFT, PBE
State: optimized geometry

POSCAR file:
```
Ba4Cd2F
1.0
-2.758 2.758 9.210
2.758 -2.758 9.210
2.758 2.758 -9.210
Ba Cd F
4 2 1
direct
0.000 0.500 0.500 Ba
0.184 0.184 0.000 Ba
0.500 0.000 0.500 Ba
0.816 0.816 0.000 Ba
0.374 0.374 0.000 Cd
0.626 0.626 0.000 Cd
0.000 0.000 0.000 F
```

Summary:
* E_tot: -17.7 eV for the cell shown

***

No. 3
Material: BaCd2F7
Method: DFT, PBE
State: optimized geometry

POSCAR file:
```
BaCd2F7
1.0
-1.973 1.973 9.290
1.973 -1.973 9.290
1.973 1.973 -9.290
Ba Cd F
1 2 7
direct
0.000 0.000 0.000 Ba
0.325 0.325 0.000 Cd
0.675 0.675 0.000 Cd
0.107 0.607 0.500 F
0.250 0.750 0.500 F
0.393 0.893 0.500 F
0.500 0.500 0.000 F
0.607 0.107 0.500 F
0.750 0.250 0.500 F
0.893 0.393 0.500 F
```

Summary:
* ΔE to the lowest computed polymorph: 0.00 eV per formula unit